A relaxed structure of VCrC2, computed with GGA-PBE.

POSCAR file:
```
VCrC2
1.0
1.4299 0.8256 4.9671
-1.4299 0.8256 4.9671
0.0000 -1.6511 4.9671
V Cr C
1 1 2
direct
0.0000 0.0000 0.0000 V
0.1781 0.1781 0.1781 Cr
0.5884 0.5884 0.5884 C
0.7607 0.7607 0.7607 C
```

## Properties
Formation enthalpy at 0 K: -9.8 kJ/mol of atoms


A relaxed structure of Li5Mg2Ga2Ag, computed with GGA-PBE.

POSCAR file:
```
Li5Mg2Ga2Ag
1.0
9.8334 0.0000 0.0000
0.0000 9.8334 0.0000
0.0000 0.0000 3.7435
Li Mg Ga Ag
10 4 4 2
direct
0.0000 0.5000 0.0000 Li
0.0698 0.1938 0.0000 Li
0.1938 0.9302 0.0000 Li
0.3062 0.4302 0.0000 Li
0.4302 0.6938 0.0000 Li
0.5000 0.0000 0.0000 Li
0.5698 0.3062 0.0000 Li
0.6938 0.5698 0.0000 Li
0.8062 0.0698 0.0000 Li
0.9302 0.8062 0.0000 Li
0.1679 0.6679 0.5000 Mg
0.3321 0.1679 0.5000 Mg
0.6679 0.8321 0.5000 Mg
0.8321 0.3321 0.5000 Mg
0.1295 0.3705 0.5000 Ga
0.3705 0.8705 0.5000 Ga
0.6295 0.1295 0.5000 Ga
0.8705 0.6295 0.5000 Ga
0.0000 0.0000 0.5000 Ag
0.5000 0.5000 0.5000 Ag
```

## Properties
Formation enthalpy at 0 K: -13.8 kJ/mol of atoms


A relaxed structure of SrCa2TlO, computed with GGA-PBE.

POSCAR file:
```
SrCa2TlO
1.0
4.8999 0.0000 0.0000
0.0000 4.8999 0.0000
0.0000 0.0000 5.2652
Sr Ca Tl O
1 2 1 1
direct
0.0000 0.0000 0.0000 Sr
0.0000 0.5000 0.5000 Ca
0.5000 0.0000 0.5000 Ca
0.5000 0.5000 0.0000 Tl
0.0000 0.0000 0.5000 O
```

## Properties
Total energy: -3.943 eV/atom


A relaxed structure of CeHoTm5, computed with GGA-PBE.

POSCAR file:
```
CeHoTm5
1.0
5.5565 -6.2341 0.0000
5.5565 6.2341 0.0000
-2.2168 0.0000 6.4184
Ce Ho Tm
2 2 10
direct
0.0000 0.5000 0.0000 Ce
0.5000 0.0000 0.5000 Ce
0.1470 0.8530 0.7500 Ho
0.8530 0.1470 0.2500 Ho
0.1147 0.8853 0.2500 Tm
0.2202 0.2741 0.6397 Tm
0.2741 0.2202 0.1397 Tm
0.3339 0.5999 0.4682 Tm
0.4001 0.6661 0.0319 Tm
0.5999 0.3339 0.9682 Tm
0.6661 0.4001 0.5318 Tm
0.7259 0.7798 0.8603 Tm
0.7798 0.7259 0.3603 Tm
0.8853 0.1147 0.7500 Tm
```

## Properties
Formation enthalpy at 0 K: 21.9 kJ/mol of atoms


A relaxed structure of Pr2Nd3Hg4, computed with GGA-PBE.

POSCAR file:
```
Pr2Nd3Hg4
1.0
3.5652 -9.2219 0.0000
3.5652 9.2219 0.0000
0.0000 0.0000 8.4349
Pr Nd Hg
4 6 8
direct
0.0943 0.9057 0.9154 Pr
0.4057 0.5943 0.4154 Pr
0.5943 0.4057 0.5846 Pr
0.9057 0.0943 0.0846 Pr
0.0000 0.0000 0.5000 Nd
0.0097 0.4903 0.7500 Nd
0.4903 0.0097 0.2500 Nd
0.5000 0.5000 0.0000 Nd
0.5097 0.9903 0.7500 Nd
0.9903 0.5097 0.2500 Nd
0.1660 0.8340 0.5281 Hg
0.1829 0.3171 0.7500 Hg
0.3171 0.1829 0.2500 Hg
0.3340 0.6660 0.0281 Hg
0.6660 0.3340 0.9719 Hg
0.6829 0.8171 0.7500 Hg
0.8171 0.6829 0.2500 Hg
0.8340 0.1660 0.4719 Hg
```

## Properties
Polymorph energy (0 for the lowest one): 64 meV/atom
Formation enthalpy at 0 K: -30.9 kJ/mol of atoms


A relaxed structure of Th6Co2Pt, computed with GGA-PBE.

POSCAR file:
```
Th6Co2Pt
1.0
-4.3887 4.8361 5.3778
4.3887 -4.8361 5.3778
4.3887 4.8361 -5.3778
Th Co Pt
12 4 2
direct
0.0317 0.2244 0.8073 Th
0.1828 0.2993 0.4822 Th
0.1828 0.7007 0.8835 Th
0.3354 0.0385 0.7030 Th
0.3354 0.6324 0.2970 Th
0.4172 0.2244 0.1927 Th
0.5828 0.7756 0.8073 Th
0.6646 0.3676 0.7030 Th
0.6646 0.9615 0.2970 Th
0.8172 0.2993 0.1165 Th
0.8172 0.7007 0.5178 Th
0.9683 0.7756 0.1927 Th
0.1292 0.6292 0.5000 Co
0.3579 0.0000 0.3579 Co
0.6421 0.0000 0.6421 Co
0.8708 0.3708 0.5000 Co
0.0000 0.0000 0.0000 Pt
0.5000 0.5000 0.0000 Pt
```

## Properties
Formation enthalpy at 0 K: -31.2 kJ/mol of atoms


Question: What is the formula in the sixth record?
Answer: Th6Co2Pt


Repeat the first record exactly.
A relaxed structure of VCrC2, computed with GGA-PBE.

POSCAR file:
```
VCrC2
1.0
1.4299 0.8256 4.9671
-1.4299 0.8256 4.9671
0.0000 -1.6511 4.9671
V Cr C
1 1 2
direct
0.0000 0.0000 0.0000 V
0.1781 0.1781 0.1781 Cr
0.5884 0.5884 0.5884 C
0.7607 0.7607 0.7607 C
```

## Properties
Formation enthalpy at 0 K: -9.8 kJ/mol of atoms


What did the fourth record say?
A relaxed structure of CeHoTm5, computed with GGA-PBE.

POSCAR file:
```
CeHoTm5
1.0
5.5565 -6.2341 0.0000
5.5565 6.2341 0.0000
-2.2168 0.0000 6.4184
Ce Ho Tm
2 2 10
direct
0.0000 0.5000 0.0000 Ce
0.5000 0.0000 0.5000 Ce
0.1470 0.8530 0.7500 Ho
0.8530 0.1470 0.2500 Ho
0.1147 0.8853 0.2500 Tm
0.2202 0.2741 0.6397 Tm
0.2741 0.2202 0.1397 Tm
0.3339 0.5999 0.4682 Tm
0.4001 0.6661 0.0319 Tm
0.5999 0.3339 0.9682 Tm
0.6661 0.4001 0.5318 Tm
0.7259 0.7798 0.8603 Tm
0.7798 0.7259 0.3603 Tm
0.8853 0.1147 0.7500 Tm
```

## Properties
Formation enthalpy at 0 K: 21.9 kJ/mol of atoms